[1]
A relaxed LiGa7Ag12 crystal, computed with PBE.

Output
M_tot = 0.00 μB/atom
space group = R-3, No. 148
ΔE_f = 0.016 eV per atom
calculated volume = 18.09 A^3/atom
total DFT energy (no corrections) = -2.85 eV per atom

abc: 7.2451 7.2451 7.2451
angles: 99.69 99.69 99.69
Fractional coordinates of all 20 atoms:
Li  0.0000  0.0000  0.0000
Ga  0.0671  0.2855  0.3535
Ga  0.2855  0.3535  0.0671
Ga  0.3535  0.0671  0.2855
Ga  0.5000  0.5000  0.5000
Ga  0.6465  0.9329  0.7145
Ga  0.7145  0.6465  0.9329
Ga  0.9329  0.7145  0.6465
Ag  0.0977  0.1049  0.6766
Ag  0.1049  0.6766  0.0977
Ag  0.2030  0.5056  0.7196
Ag  0.2804  0.7970  0.4944
Ag  0.3234  0.9023  0.8951
Ag  0.4944  0.2804  0.7970
Ag  0.5056  0.7196  0.2030
Ag  0.6766  0.0977  0.1049
Ag  0.7196  0.2030  0.5056
Ag  0.7970  0.4944  0.2804
Ag  0.8951  0.3234  0.9023
Ag  0.9023  0.8951  0.3234

[2]
A relaxed P2PbCO crystal, computed with PBE.

Output
M_tot = 0.00 μB/atom
space group = P4/mmm, No. 123
energy above the lowest structure with this stoichiometry = 0.0000 eV per atom
ΔE_f (raw) = 841 meV per atom
calculated volume = 16.49 A^3/atom
total DFT energy (no corrections) = -4.90 eV per atom

abc: 3.7824 3.7824 5.7631
angles: 90.00 90.00 90.00
Fractional coordinates of all 5 atoms:
P  0.0000  0.5000  0.0000
P  0.5000  0.0000  0.0000
Pb  0.0000  0.0000  0.5000
C  0.5000  0.5000  0.0000
O  0.5000  0.5000  0.5000

[3]
A relaxed RbPd2Pb5 crystal, computed with PBE.

Output
M_tot = 0.00 μB/atom
space group = Immm, No. 71
ΔE_f = -0.169 eV per atom
calculated volume = 29.78 A^3/atom
total DFT energy (no corrections) = -3.91 eV per atom

abc: 7.7947 7.7947 7.7947
angles: 144.89 116.93 74.28
Fractional coordinates of all 8 atoms:
Rb  0.0000  0.0000  0.0000
Pd  0.2757  0.7757  0.5000
Pd  0.7243  0.2243  0.5000
Pb  0.1409  0.3449  0.7960
Pb  0.4511  0.6551  0.7960
Pb  0.5000  0.0000  0.5000
Pb  0.5489  0.3449  0.2040
Pb  0.8591  0.6551  0.2040

[4]
A relaxed ZnCu5Ni4 crystal, computed with PBE.

Output
M_tot = 0.00 μB/atom
space group = Pmmn, No. 59
ΔE_f = 0.181 eV per atom
energy above the lowest structure with this stoichiometry = 0.0000 eV per atom
calculated volume = 12.56 A^3/atom
total DFT energy (no corrections) = -4.31 eV per atom

abc: 6.8449 8.5044 4.3169
angles: 90.00 90.00 90.00
Fractional coordinates of all 20 atoms:
Zn  0.2500  0.2500  0.0314
Zn  0.7500  0.7500  0.9686
Cu  0.0744  0.5092  0.7560
Cu  0.0744  0.9908  0.7560
Cu  0.2500  0.7500  0.7867
Cu  0.4256  0.5092  0.7560
Cu  0.4256  0.9908  0.7560
Cu  0.5744  0.0092  0.2440
Cu  0.5744  0.4908  0.2440
Cu  0.7500  0.2500  0.2133
Cu  0.9256  0.0092  0.2440
Cu  0.9256  0.4908  0.2440
Ni  0.0600  0.2500  0.5253
Ni  0.2500  0.6048  0.2734
Ni  0.2500  0.8952  0.2734
Ni  0.4400  0.2500  0.5253
Ni  0.5600  0.7500  0.4747
Ni  0.7500  0.1048  0.7266
Ni  0.7500  0.3952  0.7266
Ni  0.9400  0.7500  0.4747

[5]
A relaxed Ce2Pr3YP6 crystal, computed with PBE.

Output
M_tot = 0.07 μB/atom
space group = C2/m, No. 12
ΔE_f = -1.536 eV per atom
calculated volume = 24.90 A^3/atom
total DFT energy (no corrections) = -6.96 eV per atom

abc: 7.1477 7.1477 7.1624
angles: 99.57 99.57 120.00
Fractional coordinates of all 12 atoms:
Ce  0.1667  0.8333  0.0000
Ce  0.8333  0.1667  0.0000
Pr  0.0000  0.0000  0.5000
Pr  0.3334  0.6666  0.5000
Pr  0.6666  0.3334  0.5000
Y  0.5000  0.5000  0.0000
P  0.0867  0.4206  0.7616
P  0.2461  0.2461  0.2394
P  0.4206  0.0867  0.7616
P  0.5794  0.9133  0.2384
P  0.7539  0.7539  0.7606
P  0.9133  0.5794  0.2384

[6]
A relaxed BaNa2InRu crystal, computed with PBE.

Output
M_tot = 0.00 μB/atom
space group = P4/mmm, No. 123
ΔE_f = 0.591 eV per atom
calculated volume = 34.17 A^3/atom
total DFT energy (no corrections) = -2.72 eV per atom

abc: 5.6497 5.6497 5.3531
angles: 90.00 90.00 90.00
Fractional coordinates of all 5 atoms:
Ba  0.0000  0.0000  0.0000
Na  0.0000  0.5000  0.5000
Na  0.5000  0.0000  0.5000
In  0.5000  0.5000  0.0000
Ru  0.0000  0.0000  0.5000

What did the fourth record say?
A relaxed ZnCu5Ni4 crystal, computed with PBE.

Output
M_tot = 0.00 μB/atom
space group = Pmmn, No. 59
ΔE_f = 0.181 eV per atom
energy above the lowest structure with this stoichiometry = 0.0000 eV per atom
calculated volume = 12.56 A^3/atom
total DFT energy (no corrections) = -4.31 eV per atom

abc: 6.8449 8.5044 4.3169
angles: 90.00 90.00 90.00
Fractional coordinates of all 20 atoms:
Zn  0.2500  0.2500  0.0314
Zn  0.7500  0.7500  0.9686
Cu  0.0744  0.5092  0.7560
Cu  0.0744  0.9908  0.7560
Cu  0.2500  0.7500  0.7867
Cu  0.4256  0.5092  0.7560
Cu  0.4256  0.9908  0.7560
Cu  0.5744  0.0092  0.2440
Cu  0.5744  0.4908  0.2440
Cu  0.7500  0.2500  0.2133
Cu  0.9256  0.0092  0.2440
Cu  0.9256  0.4908  0.2440
Ni  0.0600  0.2500  0.5253
Ni  0.2500  0.6048  0.2734
Ni  0.2500  0.8952  0.2734
Ni  0.4400  0.2500  0.5253
Ni  0.5600  0.7500  0.4747
Ni  0.7500  0.1048  0.7266
Ni  0.7500  0.3952  0.7266
Ni  0.9400  0.7500  0.4747

- The lowest total DFT energy (no corrections) belongs to which entry?
  Ce2Pr3YP6

- Which of these has the lowest total DFT energy (no corrections)?
  Ce2Pr3YP6

- Which formula does entry 1 have?
  LiGa7Ag12